## one
Material: ScTi3O
Method: DFT, SCAN
State: PBEsol geometry

CIF file:
```
data_ScTi3O
_chemical_formula_sum 'Sc1 Ti3 O1'
_symmetry_space_group_name_H-M 'P 1'
_symmetry_Int_Tables_number 1
_cell_length_a 4.192
_cell_length_b 4.192
_cell_length_c 4.192
_cell_angle_alpha 90.00
_cell_angle_beta 90.00
_cell_angle_gamma 90.00
loop_
_symmetry_equiv_pos_as_xyz
'x,y,z'
loop_
_atom_site_label
_atom_site_type_symbol
_atom_site_fract_x
_atom_site_fract_y
_atom_site_fract_z
Sc1 Sc 0.000 0.000 0.000
Ti1 Ti 0.000 0.500 0.500
Ti2 Ti 0.500 0.000 0.500
Ti3 Ti 0.500 0.500 0.000
O1 O 0.500 0.500 0.500
```

---

## two
Material: ScTi3O
Method: DFT, SCAN
State: PBEsol geometry

CIF file:
```
data_ScTi3O
_chemical_formula_sum 'Sc1 Ti3 O1'
_symmetry_space_group_name_H-M 'P 1'
_symmetry_Int_Tables_number 1
_cell_length_a 4.558
_cell_length_b 4.558
_cell_length_c 4.558
_cell_angle_alpha 90.00
_cell_angle_beta 90.00
_cell_angle_gamma 90.00
loop_
_symmetry_equiv_pos_as_xyz
'x,y,z'
loop_
_atom_site_label
_atom_site_type_symbol
_atom_site_fract_x
_atom_site_fract_y
_atom_site_fract_z
Sc1 Sc 0.000 0.000 0.000
Ti1 Ti 0.000 0.000 0.500
Ti2 Ti 0.000 0.500 0.000
Ti3 Ti 0.500 0.000 0.000
O1 O 0.500 0.500 0.500
```

---

Stability summary: most stable one, least stable two.

---

## one
Material: Tl2SeO4
Method: DFT, SCAN
State: PBEsol geometry

CIF file:
```
data_Tl2SeO4
_chemical_formula_sum 'Tl4 Se2 O8'
_symmetry_space_group_name_H-M 'P 1'
_symmetry_Int_Tables_number 1
_cell_length_a 6.039
_cell_length_b 6.039
_cell_length_c 8.234
_cell_angle_alpha 90.00
_cell_angle_beta 90.00
_cell_angle_gamma 115.65
loop_
_symmetry_equiv_pos_as_xyz
'x,y,z'
loop_
_atom_site_label
_atom_site_type_symbol
_atom_site_fract_x
_atom_site_fract_y
_atom_site_fract_z
Tl1 Tl 0.000 0.000 0.000
Tl2 Tl 0.000 0.000 0.500
Tl3 Tl 0.307 0.693 0.750
Tl4 Tl 0.693 0.307 0.250
Se1 Se 0.359 0.641 0.250
Se2 Se 0.641 0.359 0.750
O1 O 0.250 0.332 0.250
O2 O 0.266 0.734 0.085
O3 O 0.266 0.734 0.415
O4 O 0.332 0.250 0.750
O5 O 0.668 0.750 0.250
O6 O 0.734 0.266 0.585
O7 O 0.734 0.266 0.915
O8 O 0.750 0.668 0.750
```

---

## two
Material: Tl2SeO4
Method: DFT, SCAN
State: PBEsol geometry

CIF file:
```
data_Tl2SeO4
_chemical_formula_sum 'Tl8 Se4 O16'
_symmetry_space_group_name_H-M 'P 1'
_symmetry_Int_Tables_number 1
_cell_length_a 7.850
_cell_length_b 5.800
_cell_length_c 11.346
_cell_angle_alpha 90.00
_cell_angle_beta 90.00
_cell_angle_gamma 90.00
loop_
_symmetry_equiv_pos_as_xyz
'x,y,z'
loop_
_atom_site_label
_atom_site_type_symbol
_atom_site_fract_x
_atom_site_fract_y
_atom_site_fract_z
Tl1 Tl 0.038 0.250 0.228
Tl2 Tl 0.181 0.750 0.408
Tl3 Tl 0.319 0.250 0.908
Tl4 Tl 0.462 0.750 0.728
Tl5 Tl 0.538 0.250 0.272
Tl6 Tl 0.681 0.750 0.092
Tl7 Tl 0.819 0.250 0.592
Tl8 Tl 0.962 0.750 0.772
Se1 Se 0.220 0.750 0.072
Se2 Se 0.280 0.250 0.572
Se3 Se 0.720 0.750 0.428
Se4 Se 0.780 0.250 0.928
O1 O 0.026 0.750 0.132
O2 O 0.176 0.012 0.614
O3 O 0.176 0.488 0.614
O4 O 0.213 0.750 0.924
O5 O 0.287 0.250 0.424
O6 O 0.324 0.512 0.114
O7 O 0.324 0.988 0.114
O8 O 0.474 0.250 0.632
O9 O 0.526 0.750 0.368
O10 O 0.676 0.012 0.886
O11 O 0.676 0.488 0.886
O12 O 0.713 0.750 0.576
O13 O 0.787 0.250 0.076
O14 O 0.824 0.512 0.386
O15 O 0.824 0.988 0.386
O16 O 0.974 0.250 0.868
```

---

Stability summary: most stable two, least stable one.

---

## one
Material: SrSm2O4
Method: DFT, SCAN
State: PBEsol geometry

CIF file:
```
data_SrSm2O4
_chemical_formula_sum 'Sr2 Sm4 O8'
_symmetry_space_group_name_H-M 'P 1'
_symmetry_Int_Tables_number 1
_cell_length_a 5.944
_cell_length_b 5.944
_cell_length_c 11.227
_cell_angle_alpha 90.00
_cell_angle_beta 90.00
_cell_angle_gamma 146.53
loop_
_symmetry_equiv_pos_as_xyz
'x,y,z'
loop_
_atom_site_label
_atom_site_type_symbol
_atom_site_fract_x
_atom_site_fract_y
_atom_site_fract_z
Sr1 Sr 0.113 0.887 0.750
Sr2 Sr 0.887 0.113 0.250
Sm1 Sm 0.368 0.632 0.574
Sm2 Sm 0.368 0.632 0.926
Sm3 Sm 0.632 0.368 0.074
Sm4 Sm 0.632 0.368 0.426
O1 O 0.000 0.000 0.000
O2 O 0.000 0.000 0.500
O3 O 0.265 0.735 0.111
O4 O 0.265 0.735 0.389
O5 O 0.462 0.538 0.750
O6 O 0.538 0.462 0.250
O7 O 0.735 0.265 0.611
O8 O 0.735 0.265 0.889
```

---

## two
Material: SrSm2O4
Method: DFT, SCAN
State: PBEsol geometry

CIF file:
```
data_SrSm2O4
_chemical_formula_sum 'Sr4 Sm8 O16'
_symmetry_space_group_name_H-M 'P 1'
_symmetry_Int_Tables_number 1
_cell_length_a 10.017
_cell_length_b 3.503
_cell_length_c 12.063
_cell_angle_alpha 90.00
_cell_angle_beta 90.00
_cell_angle_gamma 90.00
loop_
_symmetry_equiv_pos_as_xyz
'x,y,z'
loop_
_atom_site_label
_atom_site_type_symbol
_atom_site_fract_x
_atom_site_fract_y
_atom_site_fract_z
Sr1 Sr 0.246 0.250 0.149
Sr2 Sr 0.254 0.750 0.649
Sr3 Sr 0.746 0.250 0.351
Sr4 Sr 0.754 0.750 0.851
Sm1 Sm 0.069 0.750 0.385
Sm2 Sm 0.091 0.750 0.891
Sm3 Sm 0.409 0.250 0.391
Sm4 Sm 0.431 0.250 0.885
Sm5 Sm 0.569 0.750 0.115
Sm6 Sm 0.591 0.750 0.609
Sm7 Sm 0.909 0.250 0.109
Sm8 Sm 0.931 0.250 0.615
O1 O 0.001 0.250 0.284
O2 O 0.068 0.750 0.082
O3 O 0.137 0.250 0.514
O4 O 0.219 0.250 0.815
O5 O 0.281 0.750 0.315
O6 O 0.363 0.750 0.014
O7 O 0.432 0.250 0.582
O8 O 0.499 0.750 0.784
O9 O 0.501 0.250 0.216
O10 O 0.568 0.750 0.418
O11 O 0.637 0.250 0.986
O12 O 0.719 0.250 0.685
O13 O 0.781 0.750 0.185
O14 O 0.863 0.750 0.486
O15 O 0.932 0.250 0.918
O16 O 0.999 0.750 0.716
```

---

Stability summary: most stable two, least stable one.

---

## one
Material: Sm2TeO6
Method: DFT, SCAN
State: PBEsol geometry

CIF file:
```
data_Sm2TeO6
_chemical_formula_sum 'Sm6 Te3 O18'
_symmetry_space_group_name_H-M 'P 1'
_symmetry_Int_Tables_number 1
_cell_length_a 9.113
_cell_length_b 9.113
_cell_length_c 5.335
_cell_angle_alpha 90.00
_cell_angle_beta 90.00
_cell_angle_gamma 120.00
loop_
_symmetry_equiv_pos_as_xyz
'x,y,z'
loop_
_atom_site_label
_atom_site_type_symbol
_atom_site_fract_x
_atom_site_fract_y
_atom_site_fract_z
Sm1 Sm 0.000 0.271 0.000
Sm2 Sm 0.000 0.609 0.500
Sm3 Sm 0.271 0.000 0.000
Sm4 Sm 0.391 0.391 0.500
Sm5 Sm 0.609 0.000 0.500
Sm6 Sm 0.729 0.729 0.000
Te1 Te 0.000 0.000 0.500
Te2 Te 0.333 0.667 0.988
Te3 Te 0.667 0.333 0.012
O1 O 0.063 0.868 0.287
O2 O 0.132 0.195 0.287
O3 O 0.135 0.544 0.198
O4 O 0.195 0.132 0.713
O5 O 0.233 0.467 0.774
O6 O 0.234 0.767 0.774
O7 O 0.409 0.865 0.198
O8 O 0.456 0.591 0.198
O9 O 0.467 0.233 0.226
O10 O 0.533 0.766 0.774
O11 O 0.544 0.135 0.802
O12 O 0.591 0.456 0.802
O13 O 0.766 0.533 0.226
O14 O 0.767 0.234 0.226
O15 O 0.805 0.937 0.287
O16 O 0.865 0.409 0.802
O17 O 0.868 0.063 0.713
O18 O 0.937 0.805 0.713
```

---

## two
Material: Sm2TeO6
Method: DFT, SCAN
State: PBEsol geometry

CIF file:
```
data_Sm2TeO6
_chemical_formula_sum 'Sm8 Te4 O24'
_symmetry_space_group_name_H-M 'P 1'
_symmetry_Int_Tables_number 1
_cell_length_a 5.362
_cell_length_b 9.206
_cell_length_c 10.068
_cell_angle_alpha 90.00
_cell_angle_beta 90.00
_cell_angle_gamma 90.00
loop_
_symmetry_equiv_pos_as_xyz
'x,y,z'
loop_
_atom_site_label
_atom_site_type_symbol
_atom_site_fract_x
_atom_site_fract_y
_atom_site_fract_z
Sm1 Sm 0.025 0.103 0.461
Sm2 Sm 0.036 0.217 0.865
Sm3 Sm 0.464 0.783 0.365
Sm4 Sm 0.475 0.897 0.961
Sm5 Sm 0.525 0.397 0.539
Sm6 Sm 0.536 0.283 0.135
Sm7 Sm 0.964 0.717 0.635
Sm8 Sm 0.975 0.603 0.039
Te1 Te 0.042 0.495 0.354
Te2 Te 0.458 0.505 0.854
Te3 Te 0.542 0.005 0.646
Te4 Te 0.958 0.995 0.146
O1 O 0.073 0.848 0.024
O2 O 0.168 0.947 0.293
O3 O 0.183 0.640 0.239
O4 O 0.185 0.640 0.822
O5 O 0.226 0.112 0.066
O6 O 0.249 0.588 0.492
O7 O 0.251 0.412 0.992
O8 O 0.274 0.888 0.566
O9 O 0.315 0.360 0.322
O10 O 0.317 0.360 0.739
O11 O 0.332 0.053 0.793
O12 O 0.427 0.152 0.524
O13 O 0.573 0.652 0.976
O14 O 0.668 0.553 0.707
O15 O 0.683 0.860 0.761
O16 O 0.685 0.860 0.178
O17 O 0.726 0.388 0.934
O18 O 0.749 0.912 0.508
O19 O 0.751 0.088 0.008
O20 O 0.774 0.612 0.434
O21 O 0.815 0.140 0.678
O22 O 0.817 0.140 0.261
O23 O 0.832 0.447 0.207
O24 O 0.927 0.348 0.476
```

---

## three
Material: Sm2TeO6
Method: DFT, SCAN
State: PBEsol geometry

CIF file:
```
data_Sm2TeO6
_chemical_formula_sum 'Sm4 Te2 O12'
_symmetry_space_group_name_H-M 'P 1'
_symmetry_Int_Tables_number 1
_cell_length_a 5.031
_cell_length_b 5.031
_cell_length_c 10.227
_cell_angle_alpha 90.00
_cell_angle_beta 90.00
_cell_angle_gamma 90.00
loop_
_symmetry_equiv_pos_as_xyz
'x,y,z'
loop_
_atom_site_label
_atom_site_type_symbol
_atom_site_fract_x
_atom_site_fract_y
_atom_site_fract_z
Sm1 Sm 0.000 0.000 0.166
Sm2 Sm 0.000 0.000 0.834
Sm3 Sm 0.500 0.500 0.334
Sm4 Sm 0.500 0.500 0.666
Te1 Te 0.000 0.000 0.500
Te2 Te 0.500 0.500 0.000
O1 O 0.181 0.181 0.357
O2 O 0.181 0.181 0.643
O3 O 0.227 0.227 0.000
O4 O 0.273 0.727 0.500
O5 O 0.319 0.681 0.143
O6 O 0.319 0.681 0.857
O7 O 0.681 0.319 0.143
O8 O 0.681 0.319 0.857
O9 O 0.727 0.273 0.500
O10 O 0.773 0.773 0.000
O11 O 0.819 0.819 0.357
O12 O 0.819 0.819 0.643
```

---

Stability summary: most stable two, least stable three.

---

## one
Material: Zn2Sn3O8
Method: DFT, SCAN
State: PBEsol geometry

CIF file:
```
data_Zn2Sn3O8
_chemical_formula_sum 'Zn4 Sn6 O16'
_symmetry_space_group_name_H-M 'P 1'
_symmetry_Int_Tables_number 1
_cell_length_a 6.267
_cell_length_b 6.267
_cell_length_c 9.301
_cell_angle_alpha 90.00
_cell_angle_beta 90.00
_cell_angle_gamma 120.00
loop_
_symmetry_equiv_pos_as_xyz
'x,y,z'
loop_
_atom_site_label
_atom_site_type_symbol
_atom_site_fract_x
_atom_site_fract_y
_atom_site_fract_z
Zn1 Zn 0.333 0.667 0.000
Zn2 Zn 0.333 0.667 0.364
Zn3 Zn 0.667 0.333 0.500
Zn4 Zn 0.667 0.333 0.864
Sn1 Sn 0.164 0.328 0.659
Sn2 Sn 0.164 0.836 0.659
Sn3 Sn 0.328 0.164 0.159
Sn4 Sn 0.672 0.836 0.659
Sn5 Sn 0.836 0.164 0.159
Sn6 Sn 0.836 0.672 0.159
O1 O 0.000 0.000 0.044
O2 O 0.000 0.000 0.544
O3 O 0.032 0.516 0.533
O4 O 0.166 0.333 0.266
O5 O 0.166 0.834 0.266
O6 O 0.333 0.166 0.766
O7 O 0.333 0.667 0.778
O8 O 0.484 0.516 0.533
O9 O 0.484 0.968 0.533
O10 O 0.516 0.032 0.033
O11 O 0.516 0.484 0.033
O12 O 0.667 0.333 0.278
O13 O 0.667 0.834 0.266
O14 O 0.834 0.166 0.766
O15 O 0.834 0.667 0.766
O16 O 0.968 0.484 0.033
```

---

## two
Material: Zn2Sn3O8
Method: DFT, SCAN
State: PBEsol geometry

CIF file:
```
data_Zn2Sn3O8
_chemical_formula_sum 'Zn2 Sn3 O8'
_symmetry_space_group_name_H-M 'P 1'
_symmetry_Int_Tables_number 1
_cell_length_a 5.810
_cell_length_b 5.810
_cell_length_c 5.415
_cell_angle_alpha 98.47
_cell_angle_beta 98.47
_cell_angle_gamma 63.77
loop_
_symmetry_equiv_pos_as_xyz
'x,y,z'
loop_
_atom_site_label
_atom_site_type_symbol
_atom_site_fract_x
_atom_site_fract_y
_atom_site_fract_z
Zn1 Zn 0.198 0.198 0.073
Zn2 Zn 0.802 0.802 0.927
Sn1 Sn 0.244 0.756 0.500
Sn2 Sn 0.500 0.500 0.000
Sn3 Sn 0.756 0.244 0.500
O1 O 0.108 0.108 0.369
O2 O 0.146 0.603 0.139
O3 O 0.394 0.394 0.638
O4 O 0.397 0.854 0.861
O5 O 0.603 0.146 0.139
O6 O 0.606 0.606 0.362
O7 O 0.854 0.397 0.861
O8 O 0.892 0.892 0.631
```

---

Stability summary: most stable one, least stable two.

---

## one
Material: Sr2Ti2O5
Method: DFT, SCAN
State: PBEsol geometry

CIF file:
```
data_Sr2Ti2O5
_chemical_formula_sum 'Sr2 Ti2 O5'
_symmetry_space_group_name_H-M 'P 1'
_symmetry_Int_Tables_number 1
_cell_length_a 5.482
_cell_length_b 5.482
_cell_length_c 3.887
_cell_angle_alpha 90.00
_cell_angle_beta 90.00
_cell_angle_gamma 91.81
loop_
_symmetry_equiv_pos_as_xyz
'x,y,z'
loop_
_atom_site_label
_atom_site_type_symbol
_atom_site_fract_x
_atom_site_fract_y
_atom_site_fract_z
Sr1 Sr 0.243 0.757 0.000
Sr2 Sr 0.757 0.243 0.000
Ti1 Ti 0.253 0.253 0.500
Ti2 Ti 0.747 0.747 0.500
O1 O 0.000 0.000 0.500
O2 O 0.000 0.500 0.500
O3 O 0.279 0.279 0.000
O4 O 0.500 0.000 0.500
O5 O 0.721 0.721 0.000
```

---

## two
Material: Sr2Ti2O5
Method: DFT, SCAN
State: PBEsol geometry

CIF file:
```
data_Sr2Ti2O5
_chemical_formula_sum 'Sr4 Ti4 O10'
_symmetry_space_group_name_H-M 'P 1'
_symmetry_Int_Tables_number 1
_cell_length_a 8.703
_cell_length_b 8.703
_cell_length_c 8.703
_cell_angle_alpha 142.86
_cell_angle_beta 53.57
_cell_angle_gamma 142.81
loop_
_symmetry_equiv_pos_as_xyz
'x,y,z'
loop_
_atom_site_label
_atom_site_type_symbol
_atom_site_fract_x
_atom_site_fract_y
_atom_site_fract_z
Sr1 Sr 0.118 0.000 0.118
Sr2 Sr 0.382 0.000 0.382
Sr3 Sr 0.618 0.000 0.618
Sr4 Sr 0.882 0.000 0.882
Ti1 Ti 0.000 0.500 0.500
Ti2 Ti 0.265 0.515 0.750
Ti3 Ti 0.500 0.500 0.000
Ti4 Ti 0.735 0.485 0.250
O1 O 0.091 0.463 0.628
O2 O 0.258 0.000 0.758
O3 O 0.258 0.500 0.258
O4 O 0.334 0.463 0.872
O5 O 0.500 0.000 0.000
O6 O 0.500 0.500 0.500
O7 O 0.666 0.537 0.128
O8 O 0.742 0.000 0.242
O9 O 0.742 0.500 0.742
O10 O 0.909 0.537 0.372
```

---

Stability summary: most stable two, least stable one.